This record from Alexandria via LeMat-Bulk describes a relaxed structure of KLiWCl6. The functional is GGA-PBE.

```
18
Lattice="6.540 0.000 0.000 -3.270 5.663 0.000 0.000 0.000 13.870" Properties=species:S:1:pos:R:3 pbc="T T T"
K 0.000 0.000 0.000
K 0.000 0.000 6.935
Li 0.000 3.776 3.468
Li 3.270 1.888 10.403
W 0.000 3.776 10.403
W 3.270 1.888 3.468
Cl -1.094 2.148 9.021
Cl -1.957 3.642 11.784
Cl 1.094 2.148 11.784
Cl -0.863 5.537 9.021
Cl 2.407 0.127 2.086
Cl 1.313 2.021 4.849
Cl 1.957 3.642 9.021
Cl 0.863 5.537 11.784
Cl 4.133 0.127 4.849
Cl 2.176 3.516 2.086
Cl 5.226 2.021 2.086
Cl 4.363 3.516 4.849
```

Computed properties:
Total energy   -4.29 eV/atom
E_form (uncorrected)   -1282 meV/atom
Space-group type   P-31c, No. 163